Entry 1:
Rb2CdGaBi2: optimized geometry, PBE-GGA.

formation enthalpy at 0 K = -0.2939 eV/atom
DFT total energy = -2.57 eV/atom

Unit cell a=7.320 b=16.862 c=7.314 alpha=90.00 beta=90.00 gamma=90.00
Space group Ibam (No. 72)
Symmetry-distinct sites (fractional):
Rb: 0.248 0.165 0.000 [8 per cell]
Cd: 0.000 0.000 0.250 [4 per cell]
Ga: 0.000 0.500 0.250 [4 per cell]
Bi: 0.241 0.404 0.000 [8 per cell]

=====

Entry 2:
TaWBr2: optimized geometry, PBE-GGA.

energy relative to the lowest polymorph listed for this composition = 0.4239 eV/atom
DFT total energy = -6.67 eV/atom

Unit cell a=3.190 b=4.486 c=7.497 alpha=82.57 beta=77.79 gamma=89.98
Space group P-1 (No. 2)
Symmetry-distinct sites (fractional):
Ta: 0.000 0.000 0.000 [1 per cell]
W: 0.500 0.500 0.000 [1 per cell]
Br: 0.143 0.705 0.712 [2 per cell]

=====

Entry 3:
CePu2Hf: optimized geometry, PBE-GGA.

formation enthalpy at 0 K = 0.1766 eV/atom
energy relative to the lowest polymorph listed for this composition = 0.0353 eV/atom
DFT total energy = -10.96 eV/atom

Unit cell a=4.692 b=4.692 c=4.574 alpha=90.00 beta=90.00 gamma=90.00
Space group P4/mmm (No. 123)
Symmetry-distinct sites (fractional):
Ce: 0.000 0.000 0.000 [1 per cell]
Pu: 0.000 0.500 0.500 [2 per cell]
Hf: 0.500 0.500 0.000 [1 per cell]

=====

Entry 4:
NpCo4Cu: optimized geometry, PBE-GGA.

formation enthalpy at 0 K = 0.0097 eV/atom
DFT total energy = -7.57 eV/atom

Unit cell a=6.840 b=6.840 c=6.840 alpha=90.00 beta=90.00 gamma=90.00
Space group F-43m (No. 216)
Symmetry-distinct sites (fractional):
Np: 0.000 0.000 0.000 [4 per cell]
Co: 0.124 0.124 0.624 [16 per cell]
Cu: 0.250 0.250 0.250 [4 per cell]